(1)
# SrLaMg2

An optimized crystal structure of SrLaMg2 (GGA-PBE, the Alexandria database).

Summary:
Energy relative to the elements   0.085 eV/atom
Calculated total energy   -2.36 eV per atom
D(E_F)   1.316 states/eV per atom
Symmetry   I-4m2

Unit cell a=6.319 b=6.319 c=6.319 alpha=132.78 beta=132.78 gamma=69.00
Fractional coordinates of all 4 atoms:
La1 0.750 0.250 0.500
Mg1 0.000 0.000 0.000
Mg2 0.250 0.750 0.500
Sr1 0.500 0.500 0.000


(2)
# BeAlFeI2

An optimized crystal structure of BeAlFeI2 (GGA-PBE, the Alexandria database).

Summary:
Calculated total energy   -2.93 eV per atom
D(E_F)   1.015 states/eV per atom
Symmetry   P4/mmm

Unit cell a=5.240 b=4.557 c=5.240 alpha=90.00 beta=90.00 gamma=90.00
Each line ends with the local moment (μB).
Fractional coordinates of all 5 atoms:
I1 0.000 0.000 0.500  0.07
I2 0.500 0.000 0.000  0.08
Be1 0.500 0.500 0.500  0.04
Fe1 0.000 0.000 0.000  1.90
Al1 0.000 0.500 0.000  -0.02


(3)
# Zr6Tl3Zn

An optimized crystal structure of Zr6Tl3Zn (GGA-PBE, the Alexandria database).

Summary:
Energy relative to the elements   0.122 eV/atom
Calculated total energy   -5.84 eV per atom
D(E_F)   0.763 states/eV per atom
Symmetry   C2/m

Unit cell a=7.883 b=6.144 c=6.144 alpha=55.36 beta=74.96 gamma=74.96
Fractional coordinates of all 10 atoms:
Zr1 0.317 0.107 0.598
Zr2 0.683 0.402 0.893
Zr3 0.683 0.893 0.402
Zr4 0.317 0.598 0.107
Zr5 0.083 0.624 0.624
Zr6 0.917 0.376 0.376
Tl1 0.307 0.116 0.116
Tl2 0.693 0.884 0.884
Tl3 0.000 0.000 0.000
Zn1 0.500 0.500 0.500


(4)
# NaTi2I6

An optimized crystal structure of NaTi2I6 (GGA-PBE, the Alexandria database).

Summary:
Relative energy among the computed polymorphs   0.1030 eV per atom
Calculated total energy   -3.64 eV per atom
D(E_F)   1.102 states/eV per atom
Symmetry   C2/c

Unit cell a=7.859 b=10.333 c=10.333 alpha=85.07 beta=80.74 gamma=80.74
Each line ends with the local moment (μB).
Fractional coordinates of all 18 atoms:
Na1 0.250 0.108 0.892  0.00
Na2 0.750 0.892 0.108  0.00
Ti1 0.207 0.621 0.784  1.33
Ti2 0.293 0.216 0.379  1.33
Ti3 0.793 0.379 0.216  1.33
Ti4 0.707 0.784 0.621  1.33
I1 0.406 0.714 0.565  -0.04
I2 0.094 0.435 0.286  -0.04
I3 0.594 0.286 0.435  -0.04
I4 0.906 0.565 0.714  -0.04
I5 0.880 0.861 0.393  -0.02
I6 0.620 0.607 0.139  -0.02
I7 0.120 0.139 0.607  -0.02
I8 0.380 0.393 0.861  -0.02
I9 0.142 0.801 0.966  -0.01
I10 0.358 0.034 0.199  -0.01
I11 0.858 0.199 0.034  -0.01
I12 0.642 0.966 0.801  -0.01


(5)
# AcLa4Cd

An optimized crystal structure of AcLa4Cd (GGA-PBE, the Alexandria database).

Summary:
Relative energy among the computed polymorphs   0.0000 eV per atom
Energy relative to the elements   -0.104 eV/atom
Calculated total energy   -4.23 eV per atom
D(E_F)   1.329 states/eV per atom
Symmetry   P4/mmm

Unit cell a=3.843 b=3.843 c=14.630 alpha=90.00 beta=90.00 gamma=90.00
Fractional coordinates of all 6 atoms:
Ac1 0.000 0.000 0.000
La1 0.500 0.500 0.189
La2 0.000 0.000 0.640
La3 0.000 0.000 0.360
La4 0.500 0.500 0.811
Cd1 0.500 0.500 0.500


(6)
# BaAs2Cl

An optimized crystal structure of BaAs2Cl (GGA-PBE, the Alexandria database).

Summary:
Relative energy among the computed polymorphs   0.1511 eV per atom
Calculated total energy   -4.18 eV per atom
D(E_F)   0.236 states/eV per atom
Symmetry   P4mm

Unit cell a=3.732 b=3.732 c=8.551 alpha=90.00 beta=90.00 gamma=90.00
Fractional coordinates of all 4 atoms:
As1 0.000 0.000 0.105
As2 0.500 0.500 0.211
Ba1 0.000 0.000 0.498
Cl1 0.500 0.500 0.687


(7)
# CaPmPb

An optimized crystal structure of CaPmPb (GGA-PBE, the Alexandria database).

Summary:
Relative energy among the computed polymorphs   0.1954 eV per atom
Energy relative to the elements   -0.237 eV/atom
Calculated total energy   -3.72 eV per atom
D(E_F)   1.159 states/eV per atom
Symmetry   I4mm

Unit cell a=4.305 b=4.305 c=5.875 alpha=111.49 beta=111.49 gamma=90.00
Fractional coordinates of all 3 atoms:
Pb1 0.283 0.283 0.567
Ca1 0.946 0.946 0.892
Pm1 0.621 0.621 0.242


(8)
# Rb3Bi2Sb4

An optimized crystal structure of Rb3Bi2Sb4 (GGA-PBE, the Alexandria database).

Summary:
Calculated total energy   -3.26 eV per atom
D(E_F)   0.439 states/eV per atom
Symmetry   P-1

Unit cell a=4.447 b=8.013 c=14.295 alpha=51.62 beta=81.18 gamma=73.93
Fractional coordinates of all 9 atoms:
Rb1 0.631 0.124 0.616
Rb2 0.000 0.000 0.000
Rb3 0.369 0.876 0.384
Bi1 0.670 0.416 0.242
Bi2 0.330 0.584 0.758
Sb1 0.304 0.353 0.040
Sb2 0.932 0.471 0.664
Sb3 0.068 0.529 0.336
Sb4 0.696 0.647 0.960


Q: Number 7 is which compound?
A: CaPmPb


Q: Which formula does entry 2 have?
A: BeAlFeI2


Q: calculated total energy of number 1 (SrLaMg2)?
A: -2.36 eV per atom